Below is a geometry-optimized NdGaAu structure, with properties calculated at the PBE level.

a = 4.7809 Å, b = 4.7809 Å, c = 4.7809 Å
α = 60.00°, β = 60.00°, γ = 60.00°
With the nearest neighbours (Å) after each atom.
Element x y z (fractional)
Nd1 0.0000 0.0000 0.0000  4 Au 2.93
Ga1 0.5000 0.5000 0.5000  4 Au 2.93
Au1 0.2500 0.2500 0.2500  4 Ga 2.93, 4 Nd 2.93

Output
* SG: F-43m (216)
* DFT formation energy: -0.59 eV per atom